Record 1
A relaxed PrMgSb crystal. Source: Alexandria, functional PBE-GGA.

The space group is P3m1 (No. 156) and the conventional cell measures 4.7563, 4.7563 and 4.1954 Å, with angles of 90.00, 90.00 and 120.00 degrees. The inequivalent atoms are Pr at (0.0000, 0.0000, 0.0000), Mg at (0.3333, 0.6667, 0.4983) and Sb at (0.6667, 0.3333, 0.5011).

The uncorrected formation energy is -660 meV/atom. For the calculated volume, the calculation gives 82.2 Å³ per cell. The value obtained for the total energy is -12.48 eV per formula unit. The value obtained for the offset from the most stable computed form is 0.0000 eV per atom.

Record 2
A relaxed PrMgSb2 crystal. Source: Alexandria, functional PBE-GGA.

The space group is R-3m (No. 166, hexagonal axes) and the conventional cell measures 4.5305, 4.5305 and 20.4041 Å, with angles of 90.00, 90.00 and 120.00 degrees. The inequivalent atoms are Pr at (0.0000, 0.0000, 0.0000), Mg at (0.0000, 0.0000, 0.5000) and Sb at (0.0000, 0.0000, 0.2425).

The uncorrected formation energy is -574 meV/atom. For the calculated volume, the calculation gives 362.7 Å³ per cell. The value obtained for the total energy is -16.92 eV per formula unit. The value obtained for the offset from the most stable computed form is 0.1478 eV per atom.

Record 3
A relaxed Pr3MgSb2 crystal. Source: Alexandria, functional PBE-GGA.

The space group is C2/c (No. 15) and the conventional cell measures 14.6179, 6.4238 and 9.1271 Å, with angles of 90.00, 108.20 and 90.00 degrees. The inequivalent atoms are Pr at (0.0000, 0.0015, 0.2500), Pr at (0.1850, 0.5001, 0.0925), Mg at (0.0000, 0.4982, 0.7500) and Sb at (0.1607, 0.0001, 0.0804).

The uncorrected formation energy is -680 meV/atom. For the calculated volume, the calculation gives 814.2 Å³ per cell. The value obtained for the total energy is -28.26 eV per formula unit.

Record 4
A relaxed PrMg4Sc crystal. Source: Alexandria, functional PBE-GGA.

The space group is C2/m (No. 12) and the conventional cell measures 9.0045, 5.1994 and 6.5565 Å, with angles of 90.00, 90.30 and 90.00 degrees. The inequivalent atoms are Pr at (0.0000, 0.0000, 0.0000), Mg at (0.1658, 0.5000, 0.7397), Mg at (0.1677, 0.5000, 0.2601) and Sc at (0.0000, 0.0000, 0.5000).

For the calculated volume, the calculation gives 307.0 Å³ per cell. The value obtained for the total energy is -17.78 eV per formula unit. The value obtained for the offset from the most stable computed form is 0.0035 eV per atom.

Record 5
A relaxed Pr8MgSc2 crystal. Source: Alexandria, functional PBE-GGA.

The space group is Immm (No. 71) and the conventional cell measures 5.5790, 7.7298 and 17.1296 Å, with angles of 90.00, 90.00 and 90.00 degrees. The inequivalent atoms are Pr at (0.0000, 0.0000, 0.1771), Pr at (0.0000, 0.2163, 0.3623), Pr at (0.0000, 0.2736, 0.0000), Mg at (0.0000, 0.5000, 0.5000) and Sc at (0.0000, 0.5000, 0.1932).

For the calculated volume, the calculation gives 738.7 Å³ per cell. The value obtained for the total energy is -51.34 eV per formula unit.

Record 6
A relaxed Pr2Mg3Sc crystal. Source: Alexandria, functional PBE-GGA.

The space group is P4/mmm (No. 123) and the conventional cell measures 3.7812, 3.7812 and 11.5998 Å, with angles of 90.00, 90.00 and 90.00 degrees. The inequivalent atoms are Pr at (0.0000, 0.0000, 0.1774), Mg at (0.5000, 0.5000, 0.0000), Mg at (0.5000, 0.5000, 0.3565) and Sc at (0.0000, 0.0000, 0.5000).

For the calculated volume, the calculation gives 165.8 Å³ per cell. The value obtained for the total energy is -21.10 eV per formula unit.

Record 7
A relaxed Pr9Mg2Sc crystal. Source: Alexandria, functional PBE-GGA.

The space group is P4/mmm (No. 123) and the conventional cell measures 5.0776, 5.0776 and 15.2719 Å, with angles of 90.00, 90.00 and 90.00 degrees. The inequivalent atoms are Pr at (0.0000, 0.0000, 0.0000), Pr at (0.0000, 0.0000, 0.3331), Pr at (0.0000, 0.5000, 0.1656), Pr at (0.0000, 0.5000, 0.5000), Mg at (0.5000, 0.5000, 0.3352) and Sc at (0.5000, 0.5000, 0.0000).

For the calculated volume, the calculation gives 393.7 Å³ per cell. The value obtained for the total energy is -52.50 eV per formula unit.

Record 8
A relaxed Pr2Mg9Sc crystal. Source: Alexandria, functional PBE-GGA.

The space group is R-3m (No. 166, hexagonal axes) and the conventional cell measures 6.0444, 6.0444 and 29.4887 Å, with angles of 90.00, 90.00 and 120.00 degrees. The inequivalent atoms are Pr at (0.0000, 0.0000, 0.1413), Mg at (0.0000, 0.0000, 0.3339), Mg at (0.0000, 0.0000, 0.5000), Mg at (0.0030, 0.5015, 0.9177) and Sc at (0.0000, 0.0000, 0.0000).

For the calculated volume, the calculation gives 933.0 Å³ per cell. The value obtained for the total energy is -30.17 eV per formula unit.